Record 1
## Ho3Si13Ir4 (GGA-PBE)

Data for crystalline Ho3Si13Ir4 at its relaxed geometry.

Cell lengths 8.752, 8.752, 8.752 Å; angles 90.00, 90.00, 90.00 degrees
Atoms (fractional coordinates):
Si: 0.864 0.711 0.000
Si: 0.711 0.000 0.136
Si: 0.000 0.136 0.711
Si: 0.289 0.000 0.864
Si: 0.711 0.000 0.864
Si: 0.500 0.500 0.500
Si: 0.789 0.636 0.500
Si: 0.136 0.289 0.000
Si: 0.789 0.364 0.500
Si: 0.500 0.211 0.636
Si: 0.000 0.864 0.289
Si: 0.500 0.211 0.364
Si: 0.864 0.289 0.000
Si: 0.000 0.864 0.711
Si: 0.500 0.789 0.364
Si: 0.500 0.789 0.636
Si: 0.364 0.500 0.789
Si: 0.636 0.500 0.789
Si: 0.289 0.000 0.136
Si: 0.000 0.000 0.000
Si: 0.364 0.500 0.211
Si: 0.136 0.711 0.000
Si: 0.211 0.364 0.500
Si: 0.000 0.136 0.289
Si: 0.211 0.636 0.500
Si: 0.636 0.500 0.211
Ho: 0.500 0.750 0.000
Ho: 0.500 0.250 0.000
Ho: 0.000 0.500 0.750
Ho: 0.250 0.000 0.500
Ho: 0.000 0.500 0.250
Ho: 0.750 0.000 0.500
Ir: 0.750 0.750 0.750
Ir: 0.250 0.750 0.250
Ir: 0.250 0.250 0.750
Ir: 0.250 0.250 0.250
Ir: 0.750 0.250 0.750
Ir: 0.750 0.750 0.250
Ir: 0.250 0.750 0.750
Ir: 0.750 0.250 0.250

Uncorrected energy (eV/atom): -6.585
DOS(E_F) (states/eV/cell): 10.15
Space group: No. 223

***

Record 2
## Ho3Si2Ir (GGA-PBE)

Data for crystalline Ho3Si2Ir at its relaxed geometry.

Cell lengths 4.173, 11.177, 11.471 Å; angles 90.00, 90.00, 90.00 degrees
Atoms (fractional coordinates):
Si: 0.250 0.497 0.806
Si: 0.250 0.688 0.481
Si: 0.750 0.997 0.694
Si: 0.250 0.812 0.981
Si: 0.750 0.312 0.519
Si: 0.250 0.003 0.306
Si: 0.750 0.188 0.019
Si: 0.750 0.503 0.194
Ho: 0.750 0.623 0.943
Ho: 0.750 0.942 0.120
Ho: 0.250 0.801 0.715
Ho: 0.250 0.442 0.380
Ho: 0.750 0.301 0.785
Ho: 0.250 0.699 0.215
Ho: 0.250 0.123 0.557
Ho: 0.250 0.058 0.880
Ho: 0.750 0.199 0.285
Ho: 0.750 0.558 0.620
Ho: 0.250 0.377 0.057
Ho: 0.750 0.877 0.443
Ir: 0.250 0.366 0.629
Ir: 0.750 0.866 0.871
Ir: 0.750 0.634 0.371
Ir: 0.250 0.134 0.129

Uncorrected energy (eV/atom): -6.417
DOS(E_F) (states/eV/cell): 15.94
Space group: No. 62

***

Record 3
## HoSiIr (GGA-PBE)

Data for crystalline HoSiIr at its relaxed geometry.

Cell lengths 4.234, 6.844, 7.406 Å; angles 90.00, 90.00, 90.00 degrees
Atoms (fractional coordinates):
Ho: 0.750 0.499 0.813
Ho: 0.750 0.999 0.687
Ho: 0.250 0.501 0.187
Ho: 0.250 0.001 0.313
Ir: 0.250 0.157 0.932
Ir: 0.750 0.343 0.432
Ir: 0.250 0.657 0.568
Ir: 0.750 0.843 0.068
Si: 0.750 0.202 0.110
Si: 0.750 0.702 0.390
Si: 0.250 0.298 0.610
Si: 0.250 0.798 0.890

Uncorrected energy (eV/atom): -7.362
DOS(E_F) (states/eV/cell): 5.03
Space group: No. 62

***

Record 4
## HoSi2Ir3 (GGA-PBE)

Data for crystalline HoSi2Ir3 at its relaxed geometry.

Cell lengths 3.976, 8.202, 9.743 Å; angles 107.80, 90.00, 104.03 degrees
Atoms (fractional coordinates):
Ir: 0.677 0.354 0.957
Ir: 0.378 0.756 0.802
Ir: 0.622 0.244 0.198
Ir: 0.960 0.921 0.672
Ir: 0.780 0.561 0.608
Ir: 0.500 0.000 0.500
Ir: 0.323 0.646 0.043
Ir: 0.040 0.079 0.328
Ir: 0.220 0.439 0.392
Ho: 0.158 0.317 0.699
Ho: 0.000 0.000 0.000
Ho: 0.842 0.683 0.301
Si: 0.637 0.275 0.448
Si: 0.464 0.927 0.220
Si: 0.536 0.073 0.780
Si: 0.363 0.725 0.552
Si: 0.197 0.394 0.130
Si: 0.803 0.606 0.870

Uncorrected energy (eV/atom): -7.918
DOS(E_F) (states/eV/cell): 7.87
Space group: No. 12

***

Record 5
## HoSiIr2 (GGA-PBE)

Data for crystalline HoSiIr2 at its relaxed geometry.

Cell lengths 3.949, 3.949, 9.287 Å; angles 90.00, 90.00, 90.00 degrees
Atoms (fractional coordinates):
Ir: 0.000 0.500 0.105
Ir: 0.500 0.500 0.500
Ir: 0.500 0.000 0.895
Ir: 0.000 0.000 0.500
Ho: 0.000 0.500 0.791
Ho: 0.500 0.000 0.209
Si: 0.000 0.500 0.353
Si: 0.500 0.000 0.647

Uncorrected energy (eV/atom): -7.724
DOS(E_F) (states/eV/cell): 6.14
Space group: No. 129

***

Record 6
## Ho2Si3Ir5 (GGA-PBE)

Data for crystalline Ho2Si3Ir5 at its relaxed geometry.

Cell lengths 4.078, 6.650, 12.068 Å; angles 90.00, 99.73, 90.00 degrees
Atoms (fractional coordinates):
Ir: 0.057 0.592 0.113
Ir: 0.868 0.708 0.737
Ir: 0.709 0.023 0.418
Ir: 0.706 0.429 0.412
Ir: 0.132 0.208 0.263
Ir: 0.294 0.929 0.588
Ir: 0.599 0.907 0.197
Ir: 0.291 0.523 0.582
Ir: 0.943 0.092 0.887
Ir: 0.401 0.407 0.803
Si: 0.389 0.029 0.779
Si: 0.232 0.226 0.465
Si: 0.768 0.726 0.535
Si: 0.954 0.458 0.909
Si: 0.611 0.529 0.221
Si: 0.046 0.958 0.091
Ho: 0.175 0.738 0.351
Ho: 0.477 0.755 0.955
Ho: 0.523 0.255 0.045
Ho: 0.825 0.238 0.649

Uncorrected energy (eV/atom): -7.829
DOS(E_F) (states/eV/cell): 5.46
Space group: No. 36